(1)
A PBEsol-optimized structure of FeCuMo2. Source: Alexandria, functional meta-GGA SCAN.

Geometry as POSCAR:
```
FeCuMo2
1.0
0.000 2.982 2.982
2.982 0.000 2.982
2.982 2.982 0.000
Fe Cu Mo
1 1 2
Direct
0.000 0.000 0.000
0.500 0.500 0.500
0.250 0.250 0.250
0.750 0.750 0.750
```

Values from the calculation:
For the formation energy, the calculation gives 0.361 eV per atom. The calculation puts the magnetization at 1.971 μB per cell. The value obtained for the energy relative to the lowest polymorph listed for this composition is 0.125 eV per atom. The value obtained for the calculated density is 9.742 Mg/m³.

---

(2)
A PBEsol-optimized structure of FeCuMo. Source: Alexandria, functional meta-GGA SCAN.

Geometry as POSCAR:
```
FeCuMo
1.0
-1.267 1.897 3.834
1.267 -1.897 3.834
1.267 1.897 -3.834
Fe Cu Mo
1 1 1
Direct
0.000 0.000 0.000
0.660 0.660 0.000
0.329 0.329 0.000
```

Values from the calculation:
For the formation energy, the calculation gives 0.247 eV per atom. The calculation puts the magnetization at 1.426 μB per cell. The value obtained for the energy relative to the lowest polymorph listed for this composition is 0.000 eV per atom. The value obtained for the calculated density is 9.695 Mg/m³.

---

(3)
A PBEsol-optimized structure of FeCuMo2. Source: Alexandria, functional meta-GGA SCAN.

Geometry as POSCAR:
```
FeCuMo2
1.0
-1.879 1.879 3.757
1.879 -1.879 3.757
1.879 1.879 -3.757
Fe Cu Mo
1 1 2
Direct
0.000 0.000 0.000
0.250 0.750 0.500
0.500 0.500 0.000
0.750 0.250 0.500
```

Values from the calculation:
For the formation energy, the calculation gives 0.282 eV per atom. The calculation puts the magnetization at 2.796 μB per cell. The value obtained for the energy relative to the lowest polymorph listed for this composition is 0.045 eV per atom. The value obtained for the calculated density is 9.739 Mg/m³.

---

(4)
A PBEsol-optimized structure of FeCuMo2. Source: Alexandria, functional meta-GGA SCAN.

Geometry as POSCAR:
```
FeCuMo2
1.0
-1.869 1.869 3.727
1.869 -1.869 3.727
1.869 1.869 -3.727
Fe Cu Mo
1 1 2
Direct
0.000 0.000 0.000
0.500 0.500 0.000
0.250 0.750 0.500
0.750 0.250 0.500
```

Values from the calculation:
For the formation energy, the calculation gives 0.236 eV per atom. The calculation puts the magnetization at 1.213 μB per cell. The value obtained for the energy relative to the lowest polymorph listed for this composition is 0.000 eV per atom. The value obtained for the calculated density is 9.923 Mg/m³.